Record 1
A plane-wave DFT calculation with GGA-PBE was carried out for Na2YSn3S6 after structural relaxation.

Properties
Raw total energy = -57.2 eV/f.u.
Calculated volume = 572 Å³ per cell
Energy relative to the elements, uncorrected = -0.95 eV per atom
Fermi-level density of states = 8.6 states/eV/cell
Crystal system = monoclinic

Cell: 6.995 12.234 7.080 Å, 90.00 109.23 90.00°
Space group C2/m (No. 12)
One atom of each set of equivalent atoms:
Na 0.000 0.169 0.000
Y 0.000 0.500 0.000
Sn 0.000 0.000 0.500
Sn 0.000 0.337 0.500
S 0.231 0.500 0.743
S 0.243 0.347 0.244

***

Record 2
A plane-wave DFT calculation with GGA-PBE was carried out for Tm3Ni2Ge4 after structural relaxation.

Properties
Energy relative to the elements = -742 meV per atom
Relative energy among the computed polymorphs = 2.4 kJ per mole of atoms
Raw total energy = -50.1 eV/f.u.
Calculated volume = 342 Å³ per cell
Fermi-level density of states = 9.3 states/eV/cell
Crystal system = monoclinic

Cell: 10.547 4.137 8.036 Å, 90.00 102.91 90.00°
Space group C2/m (No. 12)
One atom of each set of equivalent atoms:
Tm 0.000 0.000 0.000
Tm 0.161 0.500 0.660
Ni 0.105 0.500 0.282
Ge 0.062 0.000 0.382
Ge 0.219 0.500 0.072

***

Record 3
A plane-wave DFT calculation with GGA-PBE was carried out for Ce2B7Ir12 after structural relaxation.

Properties
Energy relative to the elements = -415 meV per atom
Raw total energy = -173.7 eV/f.u.
Calculated volume = 275 Å³ per cell
Fermi-level density of states = 8.3 states/eV/cell
Crystal system = hexagonal

Cell: 9.0063 9.0063 3.9152 Å, 90.00 90.00 120.00°
Space group P-6 (No. 174)
One atom of each set of equivalent atoms:
Ce 0.0000 0.0000 0.0000
Ce 0.3333 0.6667 0.5000
B 0.0957 0.4422 0.0000
B 0.2713 0.2199 0.5000
B 0.6667 0.3333 0.0000
Ir 0.0618 0.2794 0.5000
Ir 0.0940 0.6883 0.0000
Ir 0.4010 0.1643 0.0000
Ir 0.5340 0.4153 0.5000

***

Record 4
A plane-wave DFT calculation with GGA-PBE was carried out for K3CdCl5 after structural relaxation.

Properties
Raw total energy = -28.2 eV/f.u.
Calculated volume = 1112 Å³ per cell
Energy relative to the elements, uncorrected = -1.64 eV per atom
Fermi-level density of states = 0.0 states/eV/cell
Crystal system = tetragonal

Cell: 8.524 8.524 15.310 Å, 90.00 90.00 90.00°
Space group I4/mcm (No. 140)
One atom of each set of equivalent atoms:
K 0.000 0.000 0.250
K 0.164 0.336 0.000
Cd 0.000 0.500 0.250
Cl 0.000 0.000 0.000
Cl 0.158 0.342 0.353

***

Record 5
A plane-wave DFT calculation with GGA-PBE was carried out for KPRu2 after structural relaxation.

Properties
Energy relative to the elements = 251 meV per atom
Raw total energy = -24.1 eV/f.u.
Calculated volume = 70 Å³ per cell
Fermi-level density of states = 3.4 states/eV/cell
Crystal system = tetragonal

Cell: 2.871 2.871 8.513 Å, 90.00 90.00 90.00°
Space group P4mm (No. 99)
One atom of each set of equivalent atoms:
K 0.000 0.000 0.000
P 0.500 0.500 0.303
Ru 0.000 0.000 0.462
Ru 0.500 0.500 0.674

***

Record 6
A plane-wave DFT calculation with GGA-PBE was carried out for Tm6Pb3Au after structural relaxation.

Properties
Energy relative to the elements = -355 meV per atom
Raw total energy = -44.8 eV/f.u.
Calculated volume = 1133 Å³ per cell
Fermi-level density of states = 29.2 states/eV/cell
Crystal system = orthorhombic

Cell: 10.474 16.892 6.404 Å, 90.00 90.00 90.00°
Space group Cmc2_1 (No. 36)
One atom of each set of equivalent atoms:
Tm 0.000 0.015 0.000
Tm 0.000 0.246 0.922
Tm 0.168 0.261 0.432
Tm 0.179 0.425 0.759
Pb 0.000 0.410 0.219
Pb 0.192 0.102 0.711
Au 0.000 0.140 0.287